No. 1
Computed, not measured: a geometry-optimized NbZnNiPd structure at the PBE level of DFT.

Results
Fermi-level density of states = 3.875 states/eV per cell
SG = F-43m, No. 216
ρ = 9.11 g cm⁻³
Final energy = -5.800 eV/atom

The structure in POSCAR format:
```
NbZnNiPd
1.0
0.0000 3.0885 3.0885
3.0885 0.0000 3.0885
3.0885 3.0885 0.0000
Nb Zn Ni Pd
1 1 1 1
Direct
0.0000 0.0000 0.0000
0.5000 0.5000 0.5000
0.2500 0.2500 0.2500
0.7500 0.7500 0.7500
```



No. 2
Computed, not measured: a geometry-optimized LiPmSi structure at the PBE level of DFT.

Results
Fermi-level density of states = 1.331 states/eV per cell
SG = P6_3/mmc, No. 194
ρ = 4.69 g cm⁻³
Formation energy (no corrections) = -0.544 eV per atom
Final energy = -4.574 eV/atom

The structure in POSCAR format:
```
LiPmSi
1.0
4.4485 0.0000 0.0000
-2.2242 3.8525 0.0000
0.0000 0.0000 7.4433
Li Pm Si
2 2 2
Direct
0.3333 0.6667 0.2500
0.6667 0.3333 0.7500
0.0000 0.0000 0.0000
0.0000 0.0000 0.5000
0.3333 0.6667 0.7500
0.6667 0.3333 0.2500
```



No. 3
Computed, not measured: a geometry-optimized Pr3Nd6Ho2Tm structure at the PBE level of DFT.

Results
Fermi-level density of states = 16.492 states/eV per cell
SG = C2/m, No. 12
ρ = 7.21 g cm⁻³
Final energy = -4.697 eV/atom

The structure in POSCAR format:
```
Pr3Nd6Ho2Tm
1.0
3.1655 -5.4854 0.0000
3.1655 5.4854 0.0000
-2.1126 0.0000 11.8563
Pr Nd Ho Tm
3 6 2 1
Direct
0.0000 0.0000 0.0000
0.3334 0.6666 0.0000
0.6666 0.3334 0.0000
0.0853 0.4182 0.2559
0.2487 0.2487 0.7441
0.4182 0.0853 0.2559
0.5818 0.9148 0.7441
0.7513 0.7513 0.2559
0.9148 0.5818 0.7441
0.1667 0.8333 0.5000
0.8333 0.1667 0.5000
0.5000 0.5000 0.5000
```